(1)
{
  "formula": "NdNi2AsO6",
  "functional": "GGA+U",
  "state": "optimized geometry",
  "lattice_angstrom": [[2.639, 1.524, 4.752], [-2.639, 1.524, 4.752], [0.000, -3.047, 4.752]],
  "species": ["Nd", "Ni", "Ni", "As", "O", "O", "O", "O", "O", "O"],
  "fractional_positions": [[0.000, 0.000, 0.000], [0.212, 0.212, 0.212], [0.725, 0.725, 0.725], [0.524, 0.524, 0.524], [0.154, 0.450, 0.775], [0.365, 0.905, 0.564], [0.450, 0.775, 0.154], [0.564, 0.365, 0.905], [0.775, 0.154, 0.450], [0.905, 0.564, 0.365]],
  "energy_ev_per_atom": -6.11,
  "crystal_system": "trigonal",
  "m_tot_mub_per_cell": 4.000,
  "density_g_cm3": 6.264
}



(2)
{
  "formula": "NdNiAs2O8",
  "functional": "GGA+U",
  "state": "optimized geometry",
  "lattice_angstrom": [[-3.598, 3.598, 3.116], [3.598, -3.598, 3.116], [3.598, 3.598, -3.116]],
  "species": ["Nd", "Ni", "As", "As", "O", "O", "O", "O", "O", "O", "O", "O"],
  "fractional_positions": [[0.000, 0.000, 0.000], [0.250, 0.750, 0.500], [0.500, 0.500, 0.000], [0.750, 0.250, 0.500], [0.325, 0.138, 0.813], [0.325, 0.512, 0.187], [0.387, 0.059, 0.328], [0.488, 0.675, 0.813], [0.730, 0.059, 0.672], [0.862, 0.675, 0.187], [0.941, 0.270, 0.328], [0.941, 0.613, 0.672]],
  "energy_ev_per_atom": -6.11,
  "crystal_system": "tetragonal",
  "m_tot_mub_per_cell": 3.036,
  "density_g_cm3": 4.947
}